Entry 1:
Computed, not measured: Ag2SN at its PBEsol-relaxed geometry at the meta-GGA SCAN level of DFT.

## Properties
N(E_F): 0.86 states/eV per atom
Formation energy from raw total energies: 0.92 eV/atom
Space group: I-42d (122)

abc: 4.741 4.741 12.106
angles: 90.00 90.00 90.00
Atoms (fractional coordinates):
Ag: 0.164 0.250 0.125
Ag: 0.250 0.664 0.375
Ag: 0.250 0.836 0.875
Ag: 0.336 0.250 0.625
Ag: 0.664 0.750 0.625
Ag: 0.750 0.164 0.875
Ag: 0.750 0.336 0.375
Ag: 0.836 0.750 0.125
S: 0.000 0.000 0.500
S: 0.000 0.500 0.750
S: 0.500 0.000 0.250
S: 0.500 0.500 0.000
N: 0.000 0.000 0.000
N: 0.000 0.500 0.250
N: 0.500 0.000 0.750
N: 0.500 0.500 0.500

***

Entry 2:
Computed, not measured: AgSe2SN at its PBEsol-relaxed geometry at the meta-GGA SCAN level of DFT.

## Properties
N(E_F): 0.81 states/eV per atom
Formation energy from raw total energies: 0.89 eV/atom
Space group: P4/mmm (123)

abc: 5.129 5.129 3.227
angles: 90.00 90.00 90.00
Atoms (fractional coordinates):
Ag: 0.000 0.000 0.000
Se: 0.000 0.500 0.500
Se: 0.500 0.000 0.500
S: 0.500 0.500 0.500
N: 0.500 0.500 0.000

***

Entry 3:
Computed, not measured: AgSeS2N at its PBEsol-relaxed geometry at the meta-GGA SCAN level of DFT.

## Properties
N(E_F): 0.54 states/eV per atom
Formation energy from raw total energies: 1.39 eV/atom
Space group: P4/mmm (123)

abc: 4.834 4.834 3.876
angles: 90.00 90.00 90.00
Atoms (fractional coordinates):
Ag: 0.000 0.000 0.000
Se: 0.500 0.500 0.500
S: 0.000 0.500 0.000
S: 0.500 0.000 0.000
N: 0.000 0.000 0.500

***

Entry 4:
Computed, not measured: SrAgS2N at its PBEsol-relaxed geometry at the meta-GGA SCAN level of DFT.

## Properties
N(E_F): 0.30 states/eV per atom
Formation energy from raw total energies: -0.11 eV/atom
Space group: P4/mmm (123)

abc: 4.945 4.945 4.027
angles: 90.00 90.00 90.00
Atoms (fractional coordinates):
Sr: 0.000 0.000 0.000
Ag: 0.500 0.500 0.500
S: 0.000 0.500 0.500
S: 0.500 0.000 0.500
N: 0.500 0.500 0.000